Material: Pu2PtS
Method: DFT, PBE
State: relaxed

Unit cell a=3.8384 b=3.8384 c=7.7771 alpha=75.71 beta=75.71 gamma=60.00
Fractional coordinates of all 4 atoms:
1 S 0.4988 0.4988 0.5035
2 Pu 0.2505 0.2505 0.2484
3 Pu 0.0830 0.0830 0.7510
4 Pt 0.6676 0.6676 0.9971

Summary:
Magnetization = 0.217 μB/cell
Formation energy (no corrections) = -95.1 kJ per mole of atoms
Crystal system = trigonal